Record 1
## Pm2Ho2Mg (PBE)

Data for a relaxed structure of Pm2Ho2Mg.

Properties
- Calculated density: 6.4 g/cm3
- Electronic total energy: -0.2836 Ry per atom
- DOS(E_F): 1.679 states/eV/atom
- E above lowest polymorph: 0.902 eV per formula unit
- M_tot: 0.000 μB per atom
- ΔE_f: 1.0 eV/f.u.

a = 13.022 Å, b = 13.022 Å, c = 13.022 Å
α = 157.07°, β = 157.07°, γ = 32.65°
Sites, in units of the cell vectors:
Pm  0.047  0.297  0.750
Pm  0.297  0.047  0.250
Pm  0.703  0.953  0.750
Pm  0.953  0.703  0.250
Ho  0.200  0.450  0.750
Ho  0.450  0.200  0.250
Ho  0.550  0.800  0.750
Ho  0.800  0.550  0.250
Mg  0.125  0.875  0.250
Mg  0.875  0.125  0.750

=====

Record 2
## PmHoMg6 (PBE)

Data for a relaxed structure of PmHoMg6.

Properties
- Calculated density: 3.7 g/cm3
- Electronic total energy: -0.1792 Ry per atom
- DOS(E_F): 1.040 states/eV/atom
- M_tot: 0.000 μB per atom
- ΔE_f: -0.6 eV/f.u.

a = 5.202 Å, b = 6.721 Å, c = 6.721 Å
α = 60.07°, β = 90.00°, γ = 90.00°
Sites, in units of the cell vectors:
Pm  0.000  0.000  0.000
Ho  0.500  0.332  0.332
Mg  0.000  0.502  0.502
Mg  0.000  0.503  0.995
Mg  0.000  0.995  0.503
Mg  0.500  0.343  0.827
Mg  0.500  0.827  0.343
Mg  0.500  0.828  0.828

=====

Record 3
## PmHo8Mg2 (PBE)

Data for a relaxed structure of PmHo8Mg2.

Properties
- Calculated density: 7.6 g/cm3
- Electronic total energy: -0.2963 Ry per atom
- DOS(E_F): 1.462 states/eV/atom
- E above lowest polymorph: 0.000 eV per formula unit
- M_tot: 0.000 μB per atom
- ΔE_f: 0.2 eV/f.u.

a = 8.681 Å, b = 8.681 Å, c = 8.318 Å
α = 113.40°, β = 113.40°, γ = 35.43°
Sites, in units of the cell vectors:
Pm  0.000  0.000  0.000
Ho  0.101  0.101  0.473
Ho  0.188  0.188  0.951
Ho  0.351  0.351  0.794
Ho  0.445  0.445  0.264
Ho  0.555  0.555  0.736
Ho  0.649  0.649  0.206
Ho  0.812  0.812  0.049
Ho  0.899  0.899  0.527
Mg  0.274  0.274  0.370
Mg  0.726  0.726  0.630

=====

Record 4
## Pm4Ho5Mg (PBE)

Data for a relaxed structure of Pm4Ho5Mg.

Properties
- Calculated density: 7.2 g/cm3
- Electronic total energy: -0.3062 Ry per atom
- DOS(E_F): 1.186 states/eV/atom
- E above lowest polymorph: 1.814 eV per formula unit
- M_tot: 0.000 μB per atom
- ΔE_f: 1.8 eV/f.u.

a = 8.095 Å, b = 8.095 Å, c = 8.095 Å
α = 97.26°, β = 97.26°, γ = 138.37°
Sites, in units of the cell vectors:
Pm  0.000  0.318  0.318
Pm  0.000  0.682  0.682
Pm  0.318  0.000  0.318
Pm  0.682  0.000  0.682
Ho  0.203  0.203  0.000
Ho  0.304  0.304  0.630
Ho  0.304  0.674  0.000
Ho  0.674  0.304  0.000
Ho  0.674  0.674  0.370
Mg  0.721  0.721  0.000

=====

Record 5
## Pm3HoMg2 (PBE)

Data for a relaxed structure of Pm3HoMg2.

Properties
- Calculated density: 5.9 g/cm3
- Electronic total energy: -0.2736 Ry per atom
- DOS(E_F): 1.120 states/eV/atom
- M_tot: 0.000 μB per atom
- ΔE_f: -0.3 eV/f.u.

a = 3.777 Å, b = 3.777 Å, c = 12.711 Å
α = 90.00°, β = 90.00°, γ = 90.00°
Sites, in units of the cell vectors:
Pm  0.000  0.000  0.000
Pm  0.000  0.000  0.311
Pm  0.000  0.000  0.689
Ho  0.500  0.500  0.500
Mg  0.500  0.500  0.155
Mg  0.500  0.500  0.845

=====

Record 6
## Pm4HoMg2 (PBE)

Data for a relaxed structure of Pm4HoMg2.

Properties
- Calculated density: 5.4 g/cm3
- Electronic total energy: -0.2618 Ry per atom
- DOS(E_F): 1.348 states/eV/atom
- M_tot: 0.000 μB per atom
- ΔE_f: 1.8 eV/f.u.

a = 9.498 Å, b = 9.498 Å, c = 9.498 Å
α = 34.35°, β = 34.35°, γ = 34.35°
Sites, in units of the cell vectors:
Pm  0.130  0.130  0.130
Pm  0.257  0.257  0.257
Pm  0.743  0.743  0.743
Pm  0.870  0.870  0.870
Ho  0.500  0.500  0.500
Mg  0.379  0.379  0.379
Mg  0.621  0.621  0.621